Compound: Tb3EuH
Source: Alexandria
Functional: PBE-GGA
Structure: relaxed

a = 5.0654 Å, b = 5.0654 Å, c = 5.0654 Å
α = 90.00°, β = 90.00°, γ = 90.00°
Last column: nearest neighbours and their distance in Å.
Positions (direct):
Eu 0.5000 0.5000 0.5000  12 Tb 3.58
H 0.0000 0.0000 0.0000  6 Tb 2.53
Tb 0.0000 0.5000 0.0000  2 H 2.53
Tb 0.0000 0.0000 0.5000  2 H 2.53
Tb 0.5000 0.0000 0.0000  2 H 2.53

Results
DFT total energy ... -5.619 eV per atom
SG ... Pm-3m, No. 221